(1)
The following is a PBE-GGA calculation of crystalline ZnFe3Rh at its relaxed geometry, from Alexandria.

Summary:
Relative energy among the computed polymorphs (meV/atom): 53
D(E_F) (states/eV/atom): 1.359
Size of the total moment (μB per cell): 9.102
Energy of formation (eV per atom): 1.23
ρ (Mg/m³): 6.855
SG: Pm-3m (221)

a = 4.3331 Å, b = 4.3331 Å, c = 4.3331 Å
α = 90.00°, β = 90.00°, γ = 90.00°
Fractional positions:
Zn: 0.0000 0.0000 0.0000
Fe: 0.0000 0.0000 0.5000
Fe: 0.0000 0.5000 0.0000
Fe: 0.5000 0.0000 0.0000
Rh: 0.5000 0.5000 0.5000

***

(2)
The following is a PBE-GGA calculation of crystalline ZnFe3Rh12 at its relaxed geometry, from Alexandria.

Summary:
D(E_F) (states/eV/atom): 1.199
Size of the total moment (μB per cell): 3.788
Energy of formation (eV per atom): -0.07
ρ (Mg/m³): 11.007
SG: P4/mmm (123)

a = 3.8129 Å, b = 3.8129 Å, c = 15.2305 Å
α = 90.00°, β = 90.00°, γ = 90.00°
Fractional positions:
Zn: 0.0000 0.0000 0.0000
Fe: 0.0000 0.0000 0.2497
Fe: 0.0000 0.0000 0.5000
Fe: 0.0000 0.0000 0.7503
Rh: 0.0000 0.5000 0.1285
Rh: 0.0000 0.5000 0.3758
Rh: 0.0000 0.5000 0.6242
Rh: 0.0000 0.5000 0.8715
Rh: 0.5000 0.0000 0.1285
Rh: 0.5000 0.0000 0.3758
Rh: 0.5000 0.0000 0.6242
Rh: 0.5000 0.0000 0.8715
Rh: 0.5000 0.5000 0.0000
Rh: 0.5000 0.5000 0.2521
Rh: 0.5000 0.5000 0.5000
Rh: 0.5000 0.5000 0.7479

***

(3)
The following is a PBE-GGA calculation of crystalline Zn2FeRh2 at its relaxed geometry, from Alexandria.

Summary:
Relative energy among the computed polymorphs (meV/atom): 215
D(E_F) (states/eV/atom): 0.375
Size of the total moment (μB per cell): 8.005
Energy of formation (eV per atom): 0.15
ρ (Mg/m³): 8.749
SG: I4/mmm (139)

a = 3.3164 Å, b = 3.3164 Å, c = 13.5458 Å
α = 90.00°, β = 90.00°, γ = 90.00°
Fractional positions:
Zn: 0.0000 0.5000 0.2500
Zn: 0.0000 0.5000 0.7500
Zn: 0.5000 0.0000 0.2500
Zn: 0.5000 0.0000 0.7500
Fe: 0.0000 0.0000 0.0000
Fe: 0.5000 0.5000 0.5000
Rh: 0.0000 0.0000 0.4015
Rh: 0.0000 0.0000 0.5985
Rh: 0.5000 0.5000 0.0985
Rh: 0.5000 0.5000 0.9015